Below is a relaxed NdErO crystal, with properties calculated at the PBE level.

a b c (Å): 3.5549 3.5549 5.9940
angles (deg): 90.00 90.00 120.00
Space group P3m1 (No. 156)
Symmetry-distinct sites (fractional):
Nd1 0.0000 0.0000 0.0000 (multiplicity 1)
Er1 0.3333 0.6667 0.4649 (multiplicity 1)
O1 0.6667 0.3333 0.2787 (multiplicity 1)

energy above the most stable polymorph in this dataset	0.00	kcal/mol of atoms
total magnetic moment	0.043	μB/cell
formation energy without anion corrections	-1753	meV/atom